Computed, not measured: a relaxed structure of RbGa3Pd at the PBE level of DFT.

Unit cell a=5.032 b=5.032 c=5.032 alpha=90.00 beta=90.00 gamma=90.00
Fractional coordinates of all 5 atoms:
Rb 0.000 0.000 0.000
Ga 0.000 0.500 0.500
Ga 0.500 0.000 0.500
Ga 0.500 0.500 0.000
Pd 0.500 0.500 0.500

Properties
Distance to the lowest polymorph of the same formula (meV/atom): 120.8
Density of states at the Fermi level (states/eV/cell): 2.8
Size of the total moment (μB per cell): 0.00
DFT total energy (eV/atom): -3.154